This record from Alexandria via LeMat-Bulk describes crystalline HfTlAgI6 at its relaxed geometry. The functional is PBE-GGA.

Output
- Density: 5.367 Mg/m³
- Uncorrected formation energy: -0.67 eV/atom
- Total DFT energy (no corrections): -61.029 eV per cell

abc: 7.7425 7.7425 14.9264
angles: 90.00 90.00 120.00
Last column: nearest neighbours and their distance in Å.
Atoms (fractional coordinates):
I 0.6210 0.9797 0.8613  1 Hf 2.86, 1 Ag 3.07
I 0.3588 0.9797 0.6387  1 Hf 2.86, 1 Ag 3.07
Tl 0.0000 0.0000 0.0000  6 I 3.53
Ag 0.6667 0.3333 0.7500  6 I 3.07
I 0.0203 0.6412 0.8613  1 Hf 2.86, 1 Ag 3.07
I 0.0203 0.3790 0.6387  1 Hf 2.86, 1 Ag 3.07
I 0.6210 0.6412 0.6387  1 Hf 2.86, 1 Ag 3.07
I 0.3790 0.3588 0.3613  1 Hf 2.86, 1 Ag 3.07
Hf 0.3333 0.6667 0.7500  6 I 2.86
Ag 0.3333 0.6667 0.2500  6 I 3.07
I 0.9797 0.3588 0.1387  1 Hf 2.86, 1 Ag 3.07
Hf 0.6667 0.3333 0.2500  6 I 2.86
I 0.3588 0.3790 0.8613  1 Hf 2.86, 1 Ag 3.07
I 0.6412 0.0203 0.3613  1 Hf 2.86, 1 Ag 3.07
I 0.9797 0.6210 0.3613  1 Hf 2.86, 1 Ag 3.07
Tl 0.0000 0.0000 0.5000  6 I 3.53
I 0.3790 0.0203 0.1387  1 Hf 2.86, 1 Ag 3.07
I 0.6412 0.6210 0.1387  1 Hf 2.86, 1 Ag 3.07